No. 1
Here is crystalline TaBeCu at its relaxed geometry from the Alexandria database. Energies are from GGA-PBE.

Cell: 6.3015 2.7756 5.2856 Å, 105.21 82.67 63.83°
With the nearest neighbours (Å) after each atom.
Element x y z (fractional)
Be (0.7303, 0.9274, 0.7168)  2 Be 2.22, 3 Cu 2.29-2.46
Be (0.8512, 0.4448, 0.9941)  2 Be 2.22, 3 Cu 2.29-2.46
Cu (0.4254, 0.8542, 0.9622)  3 Be 2.29-2.46, 2 Cu 2.52
Cu (0.1562, 0.5176, 0.7484)  3 Be 2.29-2.46, 2 Cu 2.52
Ta (0.0427, 0.9266, 0.3365)  4 Be 2.62-2.69, 5 Cu 2.74-2.89, 4 Ta 2.78-2.87
Ta (0.5387, 0.4457, 0.3743)  4 Be 2.62-2.69, 5 Cu 2.74-2.88, 4 Ta 2.78-2.87

Values from the calculation:
Formation energy from the elements (eV per atom): 0.01
E above lowest polymorph (kcal/mol of atoms): 2.47
Mass density (g/cm3): 10.96
SG: P-1 (2)

No. 2
Here is crystalline Th3Cd2Au8 at its relaxed geometry from the Alexandria database. Energies are from GGA-PBE.

Cell: 5.6003 5.6003 11.4829 Å, 75.89 75.89 60.00°
With the nearest neighbours (Å) after each atom.
Element x y z (fractional)
Th (0.0000, 0.0000, 0.0000)  6 Cd 3.40, 12 Au 3.62-3.76
Th (0.8100, 0.8100, 0.5701)  10 Au 3.10-3.30
Th (0.1900, 0.1900, 0.4299)  10 Au 3.10-3.30
Cd (0.6347, 0.6347, 0.0958)  4 Au 2.69-2.85
Cd (0.3653, 0.3653, 0.9042)  4 Au 2.69-2.85
Au (0.7162, 0.7162, 0.8514)  1 Cd 2.69
Au (0.2838, 0.2838, 0.1486)  1 Cd 2.69
Au (0.2289, 0.7315, 0.3082)  4 Au 2.79-2.81, 1 Cd 2.85, 2 Th 3.10
Au (0.7315, 0.2289, 0.3082)  4 Au 2.79-2.81, 1 Cd 2.85, 2 Th 3.10
Au (0.7315, 0.7315, 0.3082)  4 Au 2.79-2.81, 1 Cd 2.85, 2 Th 3.10
Au (0.2685, 0.7711, 0.6918)  4 Au 2.79-2.81, 1 Cd 2.85, 2 Th 3.10
Au (0.7711, 0.2685, 0.6918)  4 Au 2.79-2.81, 1 Cd 2.85, 2 Th 3.10
Au (0.2685, 0.2685, 0.6918)  4 Au 2.79-2.81, 1 Cd 2.85, 2 Th 3.10

Values from the calculation:
Formation energy from the elements (eV per atom): -0.29
Mass density (g/cm3): 13.85
SG: R-3m (166)

No. 3
Here is crystalline Ac2ErBi at its relaxed geometry from the Alexandria database. Energies are from GGA-PBE.

Cell: 5.0612 5.2913 5.2913 Å, 90.00 90.00 90.00°
With the nearest neighbours (Å) after each atom.
Element x y z (fractional)
Ac (0.0000, 0.0000, 0.5000)  4 Bi 3.66, 4 Er 3.66, 4 Ac 3.74
Ac (0.0000, 0.5000, 0.0000)  4 Bi 3.66, 4 Er 3.66, 4 Ac 3.74
Bi (0.5000, 0.0000, 0.0000)  8 Ac 3.66, 4 Er 3.74
Er (0.5000, 0.5000, 0.5000)  8 Ac 3.66, 4 Bi 3.74

Values from the calculation:
Formation energy from the elements (eV per atom): -0.32
E above lowest polymorph (kcal/mol of atoms): 0.24
Mass density (g/cm3): 9.73
SG: P4/mmm (123)

No. 4
Here is crystalline BeIn3N at its relaxed geometry from the Alexandria database. Energies are from GGA-PBE.

Cell: 4.6851 4.6851 4.6851 Å, 90.00 90.00 90.00°
With the nearest neighbours (Å) after each atom.
Element x y z (fractional)
Be (0.5000, 0.5000, 0.5000)  12 In 3.31
N (0.0000, 0.0000, 0.0000)  6 In 2.34
In (0.0000, 0.5000, 0.0000)  2 N 2.34
In (0.0000, 0.0000, 0.5000)  2 N 2.34
In (0.5000, 0.0000, 0.0000)  2 N 2.34

Values from the calculation:
E above lowest polymorph (kcal/mol of atoms): 0.00
Mass density (g/cm3): 5.93
Energy relative to the elements, uncorrected (kcal/mol of atoms): 19.29
SG: Pm-3m (221)

No. 5
Here is crystalline HfMg2AuSe at its relaxed geometry from the Alexandria database. Energies are from GGA-PBE.

Cell: 4.8321 5.1598 4.8321 Å, 90.00 90.00 90.00°
With the nearest neighbours (Å) after each atom.
Element x y z (fractional)
Hf (0.5000, 0.5000, 0.5000)  4 Au 3.42, 8 Mg 3.53
Mg (0.0000, 0.0000, 0.5000)  2 Se 2.42
Mg (0.5000, 0.0000, 0.0000)  2 Se 2.42
Au (0.0000, 0.5000, 0.0000)  2 Se 2.58
Se (0.0000, 0.0000, 0.0000)  4 Mg 2.42, 2 Au 2.58

Values from the calculation:
Mass density (g/cm3): 6.93
Energy relative to the elements, uncorrected (kcal/mol of atoms): 11.61
SG: P4/mmm (123)

No. 6
Here is crystalline ScMnFe2C at its relaxed geometry from the Alexandria database. Energies are from GGA-PBE.

Cell: 3.8549 3.8549 3.8492 Å, 90.00 90.00 90.00°
With the nearest neighbours (Å) after each atom.
Element x y z (fractional)
Sc (0.5000, 0.5000, 0.5000)  8 Fe 2.72, 4 Mn 2.73
C (0.0000, 0.0000, 0.0000)  2 Mn 1.92, 4 Fe 1.93
Mn (0.0000, 0.0000, 0.5000)  2 C 1.92
Fe (0.0000, 0.5000, 0.0000)  2 C 1.93
Fe (0.5000, 0.0000, 0.0000)  2 C 1.93

Values from the calculation:
Formation energy from the elements (eV per atom): -0.14
Mass density (g/cm3): 6.49
SG: P4/mmm (123)

No. 7
Here is crystalline Ti4Al2Pd at its relaxed geometry from the Alexandria database. Energies are from GGA-PBE.

Cell: 6.8598 5.3897 7.2488 Å, 90.00 119.40 90.00°
With the nearest neighbours (Å) after each atom.
Element x y z (fractional)
Ti (0.5808, 0.5022, 0.2194)  5 Ti 2.67-2.84, 4 Al 2.76-2.93, 1 Pd 2.95
Ti (0.1311, 0.7500, 0.8963)  1 Pd 2.68, 4 Al 2.73-2.87, 3 Ti 2.74-2.84
Ti (0.8689, 0.2500, 0.1037)  1 Pd 2.68, 4 Al 2.73-2.87, 3 Ti 2.74-2.84
Ti (0.5808, 0.9978, 0.2194)  5 Ti 2.67-2.84, 4 Al 2.76-2.93, 1 Pd 2.95
Ti (0.0084, 0.2500, 0.5292)  1 Pd 2.58, 5 Ti 2.72-2.83, 2 Al 2.73-2.82
Ti (0.4192, 0.0022, 0.7806)  5 Ti 2.67-2.84, 4 Al 2.76-2.93, 1 Pd 2.95
Ti (0.4192, 0.4978, 0.7806)  5 Ti 2.67-2.84, 4 Al 2.76-2.93, 1 Pd 2.95
Ti (0.9916, 0.7500, 0.4708)  1 Pd 2.58, 5 Ti 2.72-2.83, 2 Al 2.73-2.82
Al (0.8101, 0.7500, 0.0411)  1 Pd 2.69, 8 Ti 2.73-2.87, 1 Al 2.83
Al (0.1899, 0.2500, 0.9589)  1 Pd 2.69, 8 Ti 2.73-2.87, 1 Al 2.83
Al (0.3332, 0.2500, 0.3980)  3 Pd 2.58-2.76, 4 Ti 2.82-2.87, 1 Al 2.83
Al (0.6668, 0.7500, 0.6020)  3 Pd 2.58-2.76, 4 Ti 2.82-2.87, 1 Al 2.83
Pd (0.2535, 0.7500, 0.3092)  4 Al 2.58-2.76, 2 Ti 2.58-2.68
Pd (0.7465, 0.2500, 0.6908)  4 Al 2.58-2.76, 2 Ti 2.58-2.68

Values from the calculation:
Formation energy from the elements (eV per atom): -0.27
Mass density (g/cm3): 5.00
SG: P2_1/m (11)

No. 8
Here is crystalline Sm4Ho5Cd at its relaxed geometry from the Alexandria database. Energies are from GGA-PBE.

Cell: 3.5842 3.5842 24.2161 Å, 90.00 90.00 90.00°
With the nearest neighbours (Å) after each atom.
Element x y z (fractional)
Sm (0.0000, 0.0000, 0.1874)  8 Ho 3.56-3.57, 4 Sm 3.58
Sm (0.0000, 0.0000, 0.3959)  8 Ho 3.57-3.58, 4 Sm 3.58
Sm (0.0000, 0.0000, 0.6041)  8 Ho 3.57-3.58, 4 Sm 3.58
Sm (0.0000, 0.0000, 0.8126)  8 Ho 3.56-3.57, 4 Sm 3.58
Ho (0.5000, 0.5000, 0.0840)  4 Cd 3.25, 4 Sm 3.56, 4 Ho 3.58
Ho (0.5000, 0.5000, 0.2914)  8 Sm 3.57-3.58, 4 Ho 3.58
Ho (0.5000, 0.5000, 0.5000)  8 Sm 3.57, 4 Ho 3.58
Ho (0.5000, 0.5000, 0.7086)  8 Sm 3.57-3.58, 4 Ho 3.58
Ho (0.5000, 0.5000, 0.9160)  4 Cd 3.25, 4 Sm 3.56, 4 Ho 3.58
Cd (0.0000, 0.0000, 0.0000)  8 Ho 3.25, 4 Cd 3.58

Values from the calculation:
Formation energy from the elements (eV per atom): -0.05
E above lowest polymorph (kcal/mol of atoms): 0.00
Mass density (g/cm3): 8.21
SG: P4/mmm (123)

No. 9
Here is crystalline Ba5AgHg2 at its relaxed geometry from the Alexandria database. Energies are from GGA-PBE.

Cell: 9.3410 9.3410 10.3434 Å, 116.84 116.84 90.00°
With the nearest neighbours (Å) after each atom.
Element x y z (fractional)
Ba (0.5208, 0.6942, 0.7151)  3 Hg 3.55-3.57, 2 Ag 3.89
Ba (0.8058, 0.9792, 0.2849)  3 Hg 3.55-3.57, 2 Ag 3.89
Ba (0.0000, 0.0000, 0.0000)  4 Hg 3.66, 2 Ag 3.98
Ba (0.5000, 0.5000, 0.0000)  4 Hg 3.66, 2 Ag 3.98
Ba (0.1942, 0.0208, 0.7151)  3 Hg 3.55-3.57, 2 Ag 3.89
Ba (0.6942, 0.1942, 0.7151)  3 Hg 3.55-3.57, 2 Ag 3.89
Ba (0.0208, 0.5208, 0.7151)  3 Hg 3.55-3.57, 2 Ag 3.89
Ba (0.3058, 0.8058, 0.2849)  3 Hg 3.55-3.57, 2 Ag 3.89
Ba (0.9792, 0.4792, 0.2849)  3 Hg 3.55-3.57, 2 Ag 3.89
Ba (0.4792, 0.3058, 0.2849)  3 Hg 3.55-3.57, 2 Ag 3.89
Ag (0.7500, 0.7500, 0.5000)  10 Ba 3.89-3.98
Ag (0.2500, 0.2500, 0.5000)  10 Ba 3.89-3.98
Hg (0.1304, 0.3696, 0.0000)  1 Hg 3.44, 8 Ba 3.55-3.66
Hg (0.6304, 0.1304, 0.0000)  1 Hg 3.44, 8 Ba 3.55-3.66
Hg (0.3696, 0.8696, 0.0000)  1 Hg 3.44, 8 Ba 3.55-3.66
Hg (0.8696, 0.6304, 0.0000)  1 Hg 3.44, 8 Ba 3.55-3.66

Values from the calculation:
Formation energy from the elements (eV per atom): -0.30
Mass density (g/cm3): 5.72
SG: I4/mcm (140)

No. 10
Here is crystalline RbZn2InMo at its relaxed geometry from the Alexandria database. Energies are from GGA-PBE.

Cell: 5.1479 5.3540 5.1479 Å, 90.00 90.00 90.00°
With the nearest neighbours (Å) after each atom.
Element x y z (fractional)
Mo (0.0000, 0.0000, 0.0000)  4 Zn 2.57, 2 In 2.68
Zn (0.0000, 0.0000, 0.5000)  2 Mo 2.57
Zn (0.5000, 0.0000, 0.0000)  2 Mo 2.57
Rb (0.5000, 0.5000, 0.5000)  4 In 3.64, 8 Zn 3.71
In (0.0000, 0.5000, 0.0000)  2 Mo 2.68

Values from the calculation:
Formation energy from the elements (eV per atom): 0.51
E above lowest polymorph (kcal/mol of atoms): 0.00
Mass density (g/cm3): 5.00
SG: P4/mmm (123)

No. 11
Here is crystalline AlFeCl2 at its relaxed geometry from the Alexandria database. Energies are from GGA-PBE.

Cell: 6.1201 6.1201 6.1201 Å, 151.24 105.15 82.07°
With the nearest neighbours (Å) after each atom.
Element x y z (fractional)
Al (0.7291, 0.2291, 0.5000)  2 Cl 2.36, 2 Fe 2.48
Fe (0.5170, 0.5170, 0.0000)  2 Cl 2.30, 2 Al 2.48
Cl (0.9244, 0.9244, 0.0000)  2 Al 2.36
Cl (0.3296, 0.8296, 0.5000)  2 Fe 2.30

Values from the calculation:
E above lowest polymorph (kcal/mol of atoms): 4.36
Mass density (g/cm3): 2.45
Energy relative to the elements, uncorrected (kcal/mol of atoms): -6.58
SG: Imm2 (44)

No. 12
Here is crystalline BaBe3Pb at its relaxed geometry from the Alexandria database. Energies are from GGA-PBE.

Cell: 5.3330 5.3330 5.3330 Å, 90.00 90.00 90.00°
With the nearest neighbours (Å) after each atom.
Element x y z (fractional)
Pb (0.5000, 0.5000, 0.5000)  12 Be 3.77
Be (0.0000, 0.5000, 0.0000)  2 Ba 2.67
Be (0.0000, 0.0000, 0.5000)  2 Ba 2.67
Be (0.5000, 0.0000, 0.0000)  2 Ba 2.67
Ba (0.0000, 0.0000, 0.0000)  6 Be 2.67

Values from the calculation:
Formation energy from the elements (eV per atom): 1.94
E above lowest polymorph (kcal/mol of atoms): 22.92
Mass density (g/cm3): 4.07
SG: Pm-3m (221)